#w
The following is a DFT calculation (PBE) of an optimized crystal structure of LiCaTlTeSeF.

Output
- Density of states at the Fermi level: 3.00 states/eV per cell
- Total magnetization: 0.0 μB/f.u.

```
data_LiCaTlTeSeF
_chemical_formula_sum 'Li2 Ca2 Tl2 Te2 Se2 F2'
_cell_length_a 16.393
_cell_length_b 4.502
_cell_length_c 4.374
_cell_angle_alpha 90.00
_cell_angle_beta 103.59
_cell_angle_gamma 90.00
_symmetry_space_group_name_H-M 'C 1 m 1'
_symmetry_Int_Tables_number 8
_symmetry_space_group_name_Hall 'C -2y'
loop_
_atom_site_label
_atom_site_fract_x
_atom_site_fract_y
_atom_site_fract_z
Li1 0.000 0.000 0.000
Ca1 0.378 0.000 0.636
Tl1 0.175 0.500 0.468
Te1 0.217 0.000 0.004
Se1 0.001 0.500 0.255
F1 0.395 0.500 0.697
```

=====

#x
The following is a DFT calculation (PBE) of an optimized crystal structure of LiCaTlTeSeF.

Output
- Density of states at the Fermi level: 0.65 states/eV per cell
- Total magnetization: 0.0 μB/f.u.

```
data_LiCaTlTeSeF
_chemical_formula_sum 'Li1 Ca1 Tl1 Te1 Se1 F1'
_cell_length_a 4.366
_cell_length_b 5.499
_cell_length_c 7.720
_cell_angle_alpha 108.41
_cell_angle_beta 106.39
_cell_angle_gamma 90.07
_symmetry_space_group_name_H-M 'P 1'
_symmetry_Int_Tables_number 1
_symmetry_space_group_name_Hall 'P 1'
loop_
_atom_site_label
_atom_site_fract_x
_atom_site_fract_y
_atom_site_fract_z
Li1 0.000 0.000 0.000
Ca1 0.838 0.336 0.682
Tl1 0.153 0.700 0.311
Te1 0.497 0.624 0.000
Se1 0.196 0.243 0.397
F1 0.874 0.990 0.751
```

=====

#y
The following is a DFT calculation (PBE) of an optimized crystal structure of LiCaTlTeSeF.

Output
- Density of states at the Fermi level: 1.38 states/eV per cell
- Total magnetization: 0.0 μB/f.u.

```
data_LiCaTlTeSeF
_chemical_formula_sum 'Li2 Ca2 Tl2 Te2 Se2 F2'
_cell_length_a 13.866
_cell_length_b 4.004
_cell_length_c 5.954
_cell_angle_alpha 90.00
_cell_angle_beta 106.18
_cell_angle_gamma 90.00
_symmetry_space_group_name_H-M 'C 1 m 1'
_symmetry_Int_Tables_number 8
_symmetry_space_group_name_Hall 'C -2y'
loop_
_atom_site_label
_atom_site_fract_x
_atom_site_fract_y
_atom_site_fract_z
Li1 0.000 0.000 0.000
Ca1 0.125 0.500 0.730
Tl1 0.280 0.000 0.331
Te1 0.327 0.000 0.861
Se1 0.118 0.500 0.233
F1 0.050 0.000 0.732
```

=====

Which of them is least stable? Easy: #x.

=====

#w
The following is a DFT calculation (PBE) of an optimized crystal structure of CaMgF2.

Output
- Density of states at the Fermi level: 0.00 states/eV per cell
- Total magnetization: 0.0 μB/f.u.

```
data_CaMgF2
_chemical_formula_sum 'Ca4 Mg4 F8'
_cell_length_a 6.461
_cell_length_b 6.461
_cell_length_c 6.461
_cell_angle_alpha 90.00
_cell_angle_beta 90.00
_cell_angle_gamma 90.00
_symmetry_space_group_name_H-M 'F m -3 m'
_symmetry_Int_Tables_number 225
_symmetry_space_group_name_Hall '-F 4 2 3'
loop_
_atom_site_label
_atom_site_fract_x
_atom_site_fract_y
_atom_site_fract_z
Ca1 0.000 0.000 0.000
Mg1 0.000 0.000 0.500
F1 0.250 0.250 0.250
```

=====

#x
The following is a DFT calculation (PBE) of an optimized crystal structure of CaMgF2.

Output
- Density of states at the Fermi level: 0.11 states/eV per cell
- Total magnetization: 0.0 μB/f.u.

```
data_CaMgF2
_chemical_formula_sum 'Ca4 Mg4 F8'
_cell_length_a 6.168
_cell_length_b 6.168
_cell_length_c 11.107
_cell_angle_alpha 90.00
_cell_angle_beta 90.00
_cell_angle_gamma 90.00
_symmetry_space_group_name_H-M 'I -4 2 d'
_symmetry_Int_Tables_number 122
_symmetry_space_group_name_Hall 'I -4 2bw'
loop_
_atom_site_label
_atom_site_fract_x
_atom_site_fract_y
_atom_site_fract_z
Ca1 0.000 0.000 0.000
Mg1 0.000 0.000 0.500
F1 0.100 0.250 0.125
```

=====

#y
The following is a DFT calculation (PBE) of an optimized crystal structure of CaMgF2.

Output
- Density of states at the Fermi level: 0.00 states/eV per cell
- Total magnetization: 0.0 μB/f.u.

```
data_CaMgF2
_chemical_formula_sum 'Ca3 Mg3 F6'
_cell_length_a 3.7306
_cell_length_b 3.7306
_cell_length_c 18.1187
_cell_angle_alpha 90.00
_cell_angle_beta 90.00
_cell_angle_gamma 120.00
_symmetry_space_group_name_H-M 'R -3 m'
_symmetry_Int_Tables_number 166
_symmetry_space_group_name_Hall '-R 3 2"'
loop_
_atom_site_label
_atom_site_fract_x
_atom_site_fract_y
_atom_site_fract_z
Ca1 0.0000 0.0000 0.0000
Mg1 0.0000 0.0000 0.5000
F1 0.0000 0.0000 0.3811
```

=====

Which of them is least stable? Easy: #w.

=====

#w
The following is a DFT calculation (PBE) of an optimized crystal structure of CaMg2F.

Output
- Density of states at the Fermi level: 10.10 states/eV per cell
- Total magnetization: 0.0 μB/f.u.

```
data_CaMg2F
_chemical_formula_sum 'Ca4 Mg8 F4'
_cell_length_a 6.659
_cell_length_b 6.659
_cell_length_c 9.312
_cell_angle_alpha 90.00
_cell_angle_beta 90.00
_cell_angle_gamma 90.00
_symmetry_space_group_name_H-M 'I -4 2 d'
_symmetry_Int_Tables_number 122
_symmetry_space_group_name_Hall 'I -4 2bw'
loop_
_atom_site_label
_atom_site_fract_x
_atom_site_fract_y
_atom_site_fract_z
Ca1 0.000 0.000 0.000
Mg1 0.043 0.250 0.625
F1 0.000 0.000 0.500
```

=====

#x
The following is a DFT calculation (PBE) of an optimized crystal structure of CaMg2F.

Output
- Density of states at the Fermi level: 6.40 states/eV per cell
- Total magnetization: 0.0 μB/f.u.

```
data_CaMg2F
_chemical_formula_sum 'Ca4 Mg8 F4'
_cell_length_a 7.486
_cell_length_b 7.486
_cell_length_c 7.486
_cell_angle_alpha 90.00
_cell_angle_beta 90.00
_cell_angle_gamma 90.00
_symmetry_space_group_name_H-M 'F m -3 m'
_symmetry_Int_Tables_number 225
_symmetry_space_group_name_Hall '-F 4 2 3'
loop_
_atom_site_label
_atom_site_fract_x
_atom_site_fract_y
_atom_site_fract_z
Ca1 0.000 0.000 0.000
Mg1 0.250 0.250 0.250
F1 0.000 0.000 0.500
```

=====

Which of them is least stable? Easy: #x.

=====

#w
The following is a DFT calculation (PBE) of an optimized crystal structure of CaMgNF2.

Output
- Density of states at the Fermi level: 2.47 states/eV per cell
- Total magnetization: 1.0 μB/f.u.

```
data_CaMgNF2
_chemical_formula_sum 'Ca1 Mg1 N1 F2'
_cell_length_a 4.188
_cell_length_b 4.188
_cell_length_c 4.841
_cell_angle_alpha 90.00
_cell_angle_beta 90.00
_cell_angle_gamma 90.00
_symmetry_space_group_name_H-M 'P 4/m m m'
_symmetry_Int_Tables_number 123
_symmetry_space_group_name_Hall '-P 4 2'
loop_
_atom_site_label
_atom_site_fract_x
_atom_site_fract_y
_atom_site_fract_z
Ca1 0.000 0.000 0.000
Mg1 0.500 0.500 0.500
N1 0.000 0.000 0.500
F1 0.000 0.500 0.000
```

=====

#x
The following is a DFT calculation (PBE) of an optimized crystal structure of CaMgNF2.

Output
- Density of states at the Fermi level: 2.53 states/eV per cell
- Total magnetization: 1.0 μB/f.u.

```
data_CaMgNF2
_chemical_formula_sum 'Ca1 Mg1 N1 F2'
_cell_length_a 3.848
_cell_length_b 3.848
_cell_length_c 4.380
_cell_angle_alpha 90.00
_cell_angle_beta 90.00
_cell_angle_gamma 90.00
_symmetry_space_group_name_H-M 'P 4/m m m'
_symmetry_Int_Tables_number 123
_symmetry_space_group_name_Hall '-P 4 2'
loop_
_atom_site_label
_atom_site_fract_x
_atom_site_fract_y
_atom_site_fract_z
Ca1 0.000 0.000 0.000
Mg1 0.500 0.500 0.500
N1 0.500 0.500 0.000
F1 0.000 0.500 0.500
```

=====

Which of them is least stable? Easy: #w.

=====

#w
The following is a DFT calculation (PBE) of an optimized crystal structure of CaMgOF2.

Output
- Density of states at the Fermi level: 0.84 states/eV per cell
- Total magnetization: 0.0 μB/f.u.

```
data_CaMgOF2
_chemical_formula_sum 'Ca1 Mg1 O1 F2'
_cell_length_a 4.197
_cell_length_b 4.197
_cell_length_c 4.598
_cell_angle_alpha 90.00
_cell_angle_beta 90.00
_cell_angle_gamma 90.00
_symmetry_space_group_name_H-M 'P 4/m m m'
_symmetry_Int_Tables_number 123
_symmetry_space_group_name_Hall '-P 4 2'
loop_
_atom_site_label
_atom_site_fract_x
_atom_site_fract_y
_atom_site_fract_z
Ca1 0.000 0.000 0.000
Mg1 0.500 0.500 0.500
O1 0.000 0.000 0.500
F1 0.000 0.500 0.000
```

=====

#x
The following is a DFT calculation (PBE) of an optimized crystal structure of CaMgOF2.

Output
- Density of states at the Fermi level: 0.00 states/eV per cell
- Total magnetization: 0.0 μB/f.u.

```
data_CaMgOF2
_chemical_formula_sum 'Ca1 Mg1 O1 F2'
_cell_length_a 3.829
_cell_length_b 3.829
_cell_length_c 4.128
_cell_angle_alpha 90.00
_cell_angle_beta 90.00
_cell_angle_gamma 90.00
_symmetry_space_group_name_H-M 'P 4/m m m'
_symmetry_Int_Tables_number 123
_symmetry_space_group_name_Hall '-P 4 2'
loop_
_atom_site_label
_atom_site_fract_x
_atom_site_fract_y
_atom_site_fract_z
Ca1 0.000 0.000 0.000
Mg1 0.500 0.500 0.500
O1 0.500 0.500 0.000
F1 0.000 0.500 0.500
```

=====

Which of them is least stable? Easy: #w.